# PuNp3Pa2As6

A relaxed structure of PuNp3Pa2As6 (PBE-GGA, the Alexandria database).

Structure (extended XYZ):
```
12
Lattice="7.144 0.000 0.001 -3.570 6.188 0.001 -1.191 -2.063 6.685" Properties=species:S:1:pos:R:3 pbc="T T T"
Pu 0.000 0.000 0.000
Np -2.386 4.129 3.344
Np 4.769 -0.003 3.344
Np 1.191 2.063 3.344
Pa 0.002 4.125 0.001
Pa 3.572 2.063 0.001
As 3.579 2.052 5.019
As 2.376 4.115 1.671
As -1.196 2.074 1.668
As -0.012 4.125 5.019
As 0.006 0.011 5.016
As 2.394 0.001 1.668
```

Values from the calculation:
The crystal system is monoclinic. For the calculated volume, the calculation gives 295.6 Å³/f.u. The calculation puts the formation energy from the elements at -877 meV/atom.

# Cs4La3PmTe8

A relaxed structure of Cs4La3PmTe8 (PBE-GGA, the Alexandria database).

Structure (extended XYZ):
```
16
Lattice="-8.784 3.337 -1.258 -0.228 -4.214 -9.589 1.857 -5.858 7.219" Properties=species:S:1:pos:R:3 pbc="T T T"
Cs -4.392 1.669 -0.629
Cs -3.464 -1.260 2.981
Cs 0.000 0.000 0.000
Cs 0.928 -2.929 3.609
La -4.506 -0.438 -5.423
La -3.578 -3.367 -1.814
La 0.814 -5.036 -1.185
Pm -0.114 -2.107 -4.794
Te -0.379 -7.822 0.021
Te -1.321 -4.850 -3.642
Te -1.426 -3.521 0.620
Te -4.836 -6.129 -0.618
Te -2.319 -0.606 -3.010
Te -5.729 -3.214 -4.248
Te -5.834 -1.885 0.015
Te -6.776 1.088 -3.648
```

Values from the calculation:
The crystal system is trigonal. For the calculated volume, the calculation gives 695.2 Å³/f.u. Its formation energy without anion corrections is -1.48 eV per atom.

# Rb2SrSeI6

A relaxed structure of Rb2SrSeI6 (PBE-GGA, the Alexandria database).

Structure (extended XYZ):
```
10
Lattice="9.187 0.000 0.000 0.000 9.187 0.000 4.593 4.593 6.002" Properties=species:S:1:pos:R:3 pbc="T T T"
I 4.593 4.593 2.736
I 9.187 9.187 3.266
I 2.269 2.269 0.000
I 6.917 6.917 0.000
I 6.917 2.269 0.000
I 2.269 6.917 0.000
Sr 0.000 0.000 0.000
Se 4.593 4.593 0.000
Rb 9.187 4.593 3.001
Rb 4.593 9.187 3.001
```

Values from the calculation:
The crystal system is tetragonal. For the calculated volume, the calculation gives 506.5 Å³/f.u. Its formation energy without anion corrections is -0.91 eV per atom.

# BaReTeI2

A relaxed structure of BaReTeI2 (PBE-GGA, the Alexandria database).

Structure (extended XYZ):
```
5
Lattice="-1.101 6.410 1.196 -6.477 -0.935 -0.954 -0.774 -1.363 6.593" Properties=species:S:1:pos:R:3 pbc="T T T"
I -3.238 -0.467 -0.477
I -0.551 3.205 0.598
Re -4.176 2.056 3.418
Te -0.387 -0.681 3.297
Ba 0.000 0.000 0.000
```

Values from the calculation:
The crystal system is tetragonal. For the calculated volume, the calculation gives 296.4 Å³/f.u. The value obtained for the energy relative to the lowest polymorph listed for this composition is 969 meV/atom. Its formation energy without anion corrections is 0.82 eV per atom.

# Ba2SiSnPt6

A relaxed structure of Ba2SiSnPt6 (PBE-GGA, the Alexandria database).

Structure (extended XYZ):
```
10
Lattice="-3.703 0.447 -4.397 -6.115 -2.936 4.851 -5.726 3.352 1.382" Properties=species:S:1:pos:R:3 pbc="T T T"
Ba -6.813 1.488 -1.673
Ba -8.731 -0.625 3.508
Si -4.909 -1.245 0.227
Sn 0.000 0.000 0.000
Pt -6.034 0.667 1.368
Pt -7.319 -1.484 0.334
Pt -5.460 -1.708 2.541
Pt -10.085 2.571 -0.706
Pt -8.225 2.347 1.502
Pt -9.511 0.197 0.468
```

Values from the calculation:
The crystal system is monoclinic. For the calculated volume, the calculation gives 230.7 Å³/f.u. Its formation energy without anion corrections is -0.72 eV per atom.

# TmTh3Sn2

A relaxed structure of TmTh3Sn2 (PBE-GGA, the Alexandria database).

Structure (extended XYZ):
```
6
Lattice="4.582 0.000 0.000 0.000 4.582 0.000 0.000 0.000 8.767" Properties=species:S:1:pos:R:3 pbc="T T T"
Tm 2.291 2.291 0.000
Th 2.291 0.000 3.116
Th 0.000 2.291 5.651
Th 0.000 0.000 0.000
Sn 2.291 0.000 6.380
Sn 0.000 2.291 2.387
```

Values from the calculation:
The crystal system is tetragonal. For the calculated volume, the calculation gives 184.1 Å³/f.u. The calculation puts the formation energy from the elements at -386 meV/atom.